Record 1
A PBEsol-optimized structure of Sr2RhPb, computed with meta-GGA SCAN.

The structure in CIF format:
```
data_Sr2RhPb
_space_group_name_H-M_alt 'P 4/m m m'
_space_group_IT_number 123
_space_group_name_Hall '-P 4 2'
_cell_length_a 5.0281
_cell_length_b 5.0281
_cell_length_c 4.2419
_cell_angle_alpha 90.00
_cell_angle_beta 90.00
_cell_angle_gamma 90.00
loop_
_atom_site_label
_atom_site_type_symbol
_atom_site_fract_x
_atom_site_fract_y
_atom_site_fract_z
Sr1 Sr 0.0000 0.5000 0.0000
Rh1 Rh 0.0000 0.0000 0.5000
Pb1 Pb 0.5000 0.5000 0.5000
```

Uncorrected energy = -38.811 eV per atom
Formation energy from the elements = -0.29 eV/atom


Record 2
A PBEsol-optimized structure of ZnCr2Tc, computed with meta-GGA SCAN.

The structure in CIF format:
```
data_ZnCr2Tc
_space_group_name_H-M_alt 'P 4/m m m'
_space_group_IT_number 123
_space_group_name_Hall '-P 4 2'
_cell_length_a 3.9390
_cell_length_b 3.9390
_cell_length_c 3.1879
_cell_angle_alpha 90.00
_cell_angle_beta 90.00
_cell_angle_gamma 90.00
loop_
_atom_site_label
_atom_site_type_symbol
_atom_site_fract_x
_atom_site_fract_y
_atom_site_fract_z
Zn1 Zn 0.0000 0.0000 0.0000
Cr1 Cr 0.0000 0.5000 0.5000
Tc1 Tc 0.5000 0.5000 0.0000
```

Uncorrected energy = -21.206 eV per atom
Formation energy from the elements = 0.13 eV/atom


For each record above, in turn, the calculated DOS at the Fermi energy values are 2.6, 2.4 states/eV/cell.